[1]
First-principles (PBE) data for crystalline AcErTlHg at its relaxed geometry, as listed in Alexandria via LeMat-Bulk.

```
data_AcErTlHg
_cell_length_a 7.869
_cell_length_b 7.869
_cell_length_c 7.869
_cell_angle_alpha 90.00
_cell_angle_beta 90.00
_cell_angle_gamma 90.00
_symmetry_space_group_name_H-M 'F -4 3 m'
_symmetry_Int_Tables_number 216
_symmetry_space_group_name_Hall 'F -4 2 3'
loop_
_atom_site_label
_atom_site_type_symbol
_atom_site_fract_x
_atom_site_fract_y
_atom_site_fract_z
Ac1 Ac 0.000 0.000 0.000
Er1 Er 0.000 0.000 0.500
Tl1 Tl 0.250 0.250 0.750
Hg1 Hg 0.250 0.250 0.250
```

Summary:
Crystal system: cubic
E above lowest polymorph (meV/atom): 34.9

[2]
First-principles (PBE) data for crystalline P2IrSe at its relaxed geometry, as listed in Alexandria via LeMat-Bulk.

```
data_P2IrSe
_cell_length_a 7.187
_cell_length_b 2.863
_cell_length_c 7.706
_cell_angle_alpha 90.00
_cell_angle_beta 107.50
_cell_angle_gamma 90.00
_symmetry_space_group_name_H-M 'C 1 2/m 1'
_symmetry_Int_Tables_number 12
_symmetry_space_group_name_Hall '-C 2y'
loop_
_atom_site_label
_atom_site_type_symbol
_atom_site_fract_x
_atom_site_fract_y
_atom_site_fract_z
P1 P 0.156 0.000 0.331
Ir1 Ir 0.000 0.500 0.500
Se1 Se 0.000 0.000 0.000
```

Summary:
Crystal system: monoclinic
Formation energy (no corrections) (kJ/mol of formula units): -29